# 1
This record from Alexandria describes crystalline CrAsAu2 at its relaxed geometry. The functional is GGA-PBE. Values from VASP.

energy of formation from the pure elements: 107.5 meV/atom
mass density: 11.90 g/cm³
space-group type: Immm, No. 71

Geometry as Quantum ESPRESSO input:
```
&SYSTEM
  ibrav = 0, nat = 4, ntyp = 3
/
ATOMIC_SPECIES
As 74.92 As.upf
Au 196.97 Au.upf
Cr 52.00 Cr.upf
ATOMIC_POSITIONS angstrom
As 3.062 0.252 1.244
Au 9.038 5.283 0.000
Au 5.314 3.107 0.000
Cr 1.770 2.462 1.315
CELL_PARAMETERS angstrom
6.076 0.586 -0.071
3.492 5.007 0.071
-4.736 -2.879 2.559
```



# 2
This record from Alexandria describes crystalline KMgGaH6 at its relaxed geometry. The functional is GGA-PBE. Values from VASP.

calculated total energy: -0.108 hartree per atom
mass density: 1.95 g/cm³
space-group type: P312, No. 149

Geometry as Quantum ESPRESSO input:
```
&SYSTEM
  ibrav = 0, nat = 9, ntyp = 4
/
ATOMIC_SPECIES
K 39.10 K.upf
Mg 24.30 Mg.upf
Ga 69.72 Ga.upf
H 1.01 H.upf
ATOMIC_POSITIONS angstrom
K 7.372 4.255 5.674
Mg 4.915 2.837 2.837
Ga 2.458 1.418 2.837
H 1.007 1.525 1.810
H 1.825 0.109 3.863
H 3.908 1.526 3.864
H 1.639 2.621 3.863
H 3.276 2.621 1.810
H 3.090 0.108 1.811
CELL_PARAMETERS angstrom
4.914 0.001 0.000
2.458 4.256 0.000
0.000 -0.001 5.674
```



# 3
This record from Alexandria describes crystalline SbTeCl2 at its relaxed geometry. The functional is GGA-PBE. Values from VASP.

ΔE_f (raw): 57.8 meV/atom
ΔE to the lowest computed polymorph: 588 meV per atom
mass density: 5.46 g/cm³
space-group type: Pmmm, No. 47

Geometry as Quantum ESPRESSO input:
```
&SYSTEM
  ibrav = 0, nat = 4, ntyp = 3
/
ATOMIC_SPECIES
Sb 121.76 Sb.upf
Te 127.60 Te.upf
Cl 35.45 Cl.upf
ATOMIC_POSITIONS angstrom
Sb -0.726 2.335 2.162
Te 1.508 4.562 2.952
Cl 0.057 0.057 0.020
Cl 2.176 2.170 0.769
CELL_PARAMETERS angstrom
-2.039 2.338 -0.826
-1.646 0.105 4.361
4.467 4.453 1.579
```



# 4
This record from Alexandria describes crystalline ScMo2Rh at its relaxed geometry. The functional is GGA-PBE. Values from VASP.

energy of formation from the pure elements: -41.7 meV/atom
ΔE to the lowest computed polymorph: 177 meV per atom
mass density: 8.51 g/cm³
space-group type: P4mm, No. 99

Geometry as Quantum ESPRESSO input:
```
&SYSTEM
  ibrav = 0, nat = 4, ntyp = 3
/
ATOMIC_SPECIES
Mo 95.94 Mo.upf
Rh 102.91 Rh.upf
Sc 44.96 Sc.upf
ATOMIC_POSITIONS angstrom
Mo -0.011 -0.027 0.079
Mo -2.265 -0.796 1.863
Rh -0.536 -1.335 3.835
Sc -2.767 -2.044 5.448
CELL_PARAMETERS angstrom
-2.102 1.831 0.343
-1.826 -1.923 -0.925
-1.101 -2.740 7.870
```



# 5
This record from Alexandria describes crystalline SrIn3Se at its relaxed geometry. The functional is GGA-PBE. Values from VASP.

ΔE_f (raw): -1.1 meV/atom
ΔE to the lowest computed polymorph: 0 meV per atom
mass density: 4.70 g/cm³
space-group type: Pm-3m, No. 221

Geometry as Quantum ESPRESSO input:
```
&SYSTEM
  ibrav = 0, nat = 5, ntyp = 3
/
ATOMIC_SPECIES
Sr 87.62 Sr.upf
Se 78.96 Se.upf
In 114.82 In.upf
ATOMIC_POSITIONS angstrom
Sr -0.865 0.122 4.816
Se 0.000 0.000 0.000
In -0.948 -2.169 1.543
In 1.923 0.574 1.989
In -1.840 1.717 1.284
CELL_PARAMETERS angstrom
-3.681 3.435 2.567
-1.896 -4.338 3.086
3.846 1.148 3.978
```



# 6
This record from Alexandria describes crystalline RbRh at its relaxed geometry. The functional is GGA-PBE. Values from VASP.

energy of formation from the pure elements: 1112.0 meV/atom
mass density: 3.80 g/cm³
space-group type: P4_2/mnm, No. 136

Geometry as Quantum ESPRESSO input:
```
&SYSTEM
  ibrav = 0, nat = 8, ntyp = 2
/
ATOMIC_SPECIES
Rb 85.47 Rb.upf
Rh 102.91 Rh.upf
ATOMIC_POSITIONS angstrom
Rb -3.675 -1.629 -4.353
Rb -4.700 -5.719 -1.843
Rb -1.407 -4.224 -0.861
Rb -5.148 -2.376 1.720
Rh -3.379 -1.534 -1.008
Rh -3.954 -5.428 2.359
Rh -2.153 -4.516 -5.063
Rh -5.445 -2.471 -1.625
CELL_PARAMETERS angstrom
-5.587 -2.598 3.528
-3.237 -1.407 -6.161
2.717 -5.939 -0.071
```



# 7
This record from Alexandria describes crystalline Pr6Nd5Tl at its relaxed geometry. The functional is GGA-PBE. Values from VASP.

energy of formation from the pure elements: -40.1 meV/atom
ΔE to the lowest computed polymorph: 0 meV per atom
mass density: 7.10 g/cm³
space-group type: Immm, No. 71

Geometry as Quantum ESPRESSO input:
```
&SYSTEM
  ibrav = 0, nat = 12, ntyp = 3
/
ATOMIC_SPECIES
Pr 140.91 Pr.upf
Tl 204.38 Tl.upf
Nd 144.24 Nd.upf
ATOMIC_POSITIONS angstrom
Pr 0.948 0.766 3.378
Pr 1.713 5.247 6.099
Pr 2.834 2.130 0.602
Pr -1.339 6.613 4.706
Pr -0.218 3.496 -0.791
Pr 0.547 7.977 1.930
Tl 0.000 0.000 0.000
Nd 1.928 1.608 6.874
Nd -1.139 3.011 5.426
Nd 0.747 4.372 2.654
Nd -2.303 5.736 1.266
Nd -0.433 7.135 -1.565
CELL_PARAMETERS angstrom
4.937 -0.003 -1.383
-3.502 8.543 -3.020
0.060 0.203 9.712
```



# 8
This record from Alexandria describes crystalline CeMg3Zn2 at its relaxed geometry. The functional is GGA-PBE. Values from VASP.

energy of formation from the pure elements: -111.4 meV/atom
mass density: 4.32 g/cm³
space-group type: C2/m, No. 12

Geometry as Quantum ESPRESSO input:
```
&SYSTEM
  ibrav = 0, nat = 12, ntyp = 3
/
ATOMIC_SPECIES
Ce 140.12 Ce.upf
Mg 24.30 Mg.upf
Zn 65.41 Zn.upf
ATOMIC_POSITIONS angstrom
Ce 2.327 2.565 6.314
Ce 0.000 1.995 0.357
Mg 0.000 3.074 3.658
Mg 2.327 5.143 3.941
Mg 2.327 -0.823 4.952
Mg 0.000 5.382 1.719
Mg 0.000 -0.584 2.730
Mg 2.327 1.486 3.013
Zn 0.000 4.995 5.520
Zn 2.327 -0.436 1.151
Zn 2.327 3.797 1.417
Zn 0.000 0.762 5.254
CELL_PARAMETERS angstrom
4.654 0.000 0.000
-2.327 8.467 -0.064
0.000 -3.907 6.736
```



# 9
This record from Alexandria describes crystalline NbTcC at its relaxed geometry. The functional is GGA-PBE. Values from VASP.

energy of formation from the pure elements: -194.5 meV/atom
mass density: 8.71 g/cm³
space-group type: P-1, No. 2

Geometry as Quantum ESPRESSO input:
```
&SYSTEM
  ibrav = 0, nat = 6, ntyp = 3
/
ATOMIC_SPECIES
Tc 98.00 Tc.upf
Nb 92.91 Nb.upf
C 12.01 C.upf
ATOMIC_POSITIONS angstrom
Tc 0.215 2.731 3.518
Tc 1.584 1.734 1.056
Nb 1.744 0.146 3.584
Nb 0.055 4.319 0.990
C 1.658 3.516 2.240
C 0.141 0.949 2.334
CELL_PARAMETERS angstrom
3.036 0.000 -0.188
-0.011 5.252 -0.196
-1.226 -0.788 4.957
```



# 10
This record from Alexandria describes crystalline Y2PaSn at its relaxed geometry. The functional is GGA-PBE. Values from VASP.

energy of formation from the pure elements: -195.8 meV/atom
ΔE to the lowest computed polymorph: 0 meV per atom
mass density: 8.15 g/cm³
space-group type: P4/mmm, No. 123

Geometry as Quantum ESPRESSO input:
```
&SYSTEM
  ibrav = 0, nat = 4, ntyp = 3
/
ATOMIC_SPECIES
Y 88.91 Y.upf
Pa 231.04 Pa.upf
Sn 118.71 Sn.upf
ATOMIC_POSITIONS angstrom
Y -1.481 -0.366 1.888
Y -1.255 -1.622 -1.299
Pa -1.368 1.660 -0.751
Sn -4.104 -0.328 -0.162
CELL_PARAMETERS angstrom
-2.736 3.320 -1.503
-2.510 -3.244 -2.597
-2.962 -0.732 3.777
```



# 11
This record from Alexandria describes crystalline FeGeH2Pb at its relaxed geometry. The functional is GGA-PBE. Values from VASP.

calculated total energy: -0.145 hartree per atom
mass density: 6.65 g/cm³
space-group type: P4/mmm, No. 123

Geometry as Quantum ESPRESSO input:
```
&SYSTEM
  ibrav = 0, nat = 5, ntyp = 4
/
ATOMIC_SPECIES
Pb 207.20 Pb.upf
H 1.01 H.upf
Ge 72.64 Ge.upf
Fe 55.84 Fe.upf
ATOMIC_POSITIONS angstrom
Pb 0.000 0.000 0.000
H 0.000 0.000 1.882
H 1.882 0.000 0.000
Ge 0.000 2.975 0.000
Fe 1.882 2.975 1.882
CELL_PARAMETERS angstrom
3.764 0.000 0.000
0.000 5.951 0.000
0.000 0.000 3.764
```



# 12
This record from Alexandria describes crystalline Pa2BPb at its relaxed geometry. The functional is GGA-PBE. Values from VASP.

energy of formation from the pure elements: -97.4 meV/atom
mass density: 12.19 g/cm³
space-group type: R-3m, No. 166

Geometry as Quantum ESPRESSO input:
```
&SYSTEM
  ibrav = 0, nat = 4, ntyp = 3
/
ATOMIC_SPECIES
Pb 207.20 Pb.upf
B 10.81 B.upf
Pa 231.04 Pa.upf
ATOMIC_POSITIONS angstrom
Pb 3.506 2.024 4.349
B 0.000 0.000 0.000
Pa 1.753 1.012 1.498
Pa 5.259 3.036 7.200
CELL_PARAMETERS angstrom
3.506 0.000 0.000
1.753 3.036 0.000
1.753 1.012 8.699
```



# 13
This record from Alexandria describes crystalline Na8SbP2 at its relaxed geometry. The functional is GGA-PBE. Values from VASP.

ΔE_f (raw): -296.8 meV/atom
ΔE to the lowest computed polymorph: 11 meV per atom
mass density: 2.05 g/cm³
space-group type: C2/m, No. 12

Geometry as Quantum ESPRESSO input:
```
&SYSTEM
  ibrav = 0, nat = 11, ntyp = 3
/
ATOMIC_SPECIES
Na 22.99 Na.upf
Sb 121.76 Sb.upf
P 30.97 P.upf
ATOMIC_POSITIONS angstrom
Na -5.636 5.527 -1.605
Na -2.683 7.498 -1.208
Na -3.055 4.365 1.041
Na -5.280 2.051 -0.866
Na 0.221 5.724 -0.126
Na -2.004 3.410 -2.032
Na -2.375 0.277 0.216
Na 0.577 2.249 0.613
Sb -0.166 0.753 -2.502
P -0.455 4.409 2.263
P -4.271 1.861 1.750
CELL_PARAMETERS angstrom
-0.333 1.506 -5.005
-7.802 -0.497 1.275
3.076 6.767 2.738
```



# 14
This record from Alexandria describes crystalline RbIn2Au5 at its relaxed geometry. The functional is GGA-PBE. Values from VASP.

energy of formation from the pure elements: -168.8 meV/atom
mass density: 11.06 g/cm³
space-group type: Immm, No. 71

Geometry as Quantum ESPRESSO input:
```
&SYSTEM
  ibrav = 0, nat = 8, ntyp = 3
/
ATOMIC_SPECIES
Rb 85.47 Rb.upf
In 114.82 In.upf
Au 196.97 Au.upf
ATOMIC_POSITIONS angstrom
Rb 0.000 0.000 0.000
In 5.676 -6.307 7.044
In 1.995 -2.168 2.358
Au 4.380 -3.691 2.577
Au 1.902 -4.569 4.120
Au 5.769 -3.906 5.281
Au 4.408 -6.171 4.350
Au 3.263 -2.305 5.051
CELL_PARAMETERS angstrom
-1.088 -1.092 4.248
2.590 -6.669 1.353
6.169 -0.714 3.801
```



# 15
This record from Alexandria describes crystalline MgAg2 at its relaxed geometry. The functional is GGA-PBE. Values from VASP.

energy of formation from the pure elements: -72.3 meV/atom
ΔE to the lowest computed polymorph: 105 meV per atom
mass density: 6.70 g/cm³
space-group type: P6_3/mmc, No. 194

Geometry as Quantum ESPRESSO input:
```
&SYSTEM
  ibrav = 0, nat = 12, ntyp = 2
/
ATOMIC_SPECIES
Mg 24.30 Mg.upf
Ag 107.87 Ag.upf
ATOMIC_POSITIONS angstrom
Mg -0.163 -3.263 0.231
Mg -4.891 -1.963 2.601
Mg -6.629 -2.212 5.434
Mg -1.901 -3.512 3.064
Ag 0.000 0.000 0.000
Ag -2.286 -0.328 3.726
Ag -3.371 -2.151 5.477
Ag -4.660 -0.970 -0.366
Ag -2.343 -0.985 1.054
Ag -4.449 -4.490 4.611
Ag -2.132 -4.505 6.031
Ag -3.421 -3.325 0.187
CELL_PARAMETERS angstrom
-4.774 0.031 -2.926
2.554 -4.852 1.140
-4.571 -0.655 7.451
```



# 16
This record from Alexandria describes crystalline BaIOF2 at its relaxed geometry. The functional is GGA-PBE. Values from VASP.

ΔE_f (raw): -1445.0 meV/atom
ΔE to the lowest computed polymorph: 109 meV per atom
mass density: 3.70 g/cm³
space-group type: P4/mmm, No. 123

Geometry as Quantum ESPRESSO input:
```
&SYSTEM
  ibrav = 0, nat = 5, ntyp = 4
/
ATOMIC_SPECIES
I 126.90 I.upf
Ba 137.33 Ba.upf
O 16.00 O.upf
F 19.00 F.upf
ATOMIC_POSITIONS angstrom
I 2.507 2.507 2.842
Ba 0.000 0.000 0.000
O 0.000 0.000 2.842
F 0.000 2.507 0.000
F 2.507 0.000 0.000
CELL_PARAMETERS angstrom
5.014 0.000 0.000
0.000 5.014 0.000
0.000 0.000 5.684
```



# 17
This record from Alexandria describes crystalline RbBa2Br5 at its relaxed geometry. The functional is GGA-PBE. Values from VASP.

ΔE_f (raw): -2097.5 meV/atom
ΔE to the lowest computed polymorph: 0 meV per atom
mass density: 4.09 g/cm³
space-group type: P2_1/c, No. 14

Geometry as Quantum ESPRESSO input:
```
&SYSTEM
  ibrav = 0, nat = 32, ntyp = 3
/
ATOMIC_SPECIES
Rb 85.47 Rb.upf
Ba 137.33 Ba.upf
Br 79.90 Br.upf
ATOMIC_POSITIONS angstrom
Rb -1.231 4.740 12.419
Rb 2.791 -1.387 6.628
Rb -0.762 0.000 13.666
Rb 2.321 3.353 5.381
Ba 3.285 5.401 14.561
Ba -1.725 -2.048 4.486
Ba -5.316 -0.868 11.686
Ba 6.875 4.221 7.362
Ba 3.034 2.612 10.253
Ba -1.475 0.742 8.795
Ba -4.944 2.570 15.487
Ba 6.504 0.784 3.560
Br 0.099 3.550 9.369
Br 1.460 -0.197 9.678
Br -1.764 2.945 15.343
Br 3.324 0.409 3.704
Br 1.966 2.539 13.379
Br -0.407 0.815 5.669
Br -3.216 6.176 9.597
Br 4.775 -2.823 9.450
Br 1.847 6.612 11.723
Br -0.288 -3.259 7.324
Br -3.161 1.761 11.520
Br 4.720 1.592 7.527
Br 3.822 5.248 8.295
Br -2.263 -1.895 10.753
Br -4.753 5.174 13.346
Br 6.313 -1.821 5.701
Br 2.030 3.515 17.063
Br -0.470 -0.162 1.985
Br -3.709 2.900 7.712
Br 5.269 0.453 11.336
CELL_PARAMETERS angstrom
-1.277 -6.834 5.346
8.855 1.606 4.169
-6.019 8.581 9.533
```



# 18
This record from Alexandria describes crystalline HfScTaO6 at its relaxed geometry. The functional is GGA-PBE. Values from VASP.

ΔE_f (raw): -3290.5 meV/atom
mass density: 7.48 g/cm³
space-group type: P4_2nm, No. 102

Geometry as Quantum ESPRESSO input:
```
&SYSTEM
  ibrav = 0, nat = 18, ntyp = 4
/
ATOMIC_SPECIES
Hf 178.49 Hf.upf
Sc 44.96 Sc.upf
Ta 180.95 Ta.upf
O 16.00 O.upf
ATOMIC_POSITIONS angstrom
Hf -3.627 0.401 0.942
Hf -1.793 -3.158 5.222
Sc -4.521 -1.174 3.545
Sc -0.001 -0.002 0.003
Ta -5.415 -2.748 6.148
Ta -0.895 -1.576 2.606
O -4.998 -2.825 2.307
O -4.010 0.540 4.680
O -4.639 -3.961 7.545
O -7.054 -3.055 7.265
O -4.137 -1.299 -0.167
O -3.162 2.023 2.177
O -3.760 -2.466 5.059
O -6.224 -1.540 4.773
O -4.935 -1.127 7.257
O -5.878 -4.340 4.990
O -5.360 0.119 2.062
O -2.768 -0.855 2.363
CELL_PARAMETERS angstrom
-2.381 3.906 1.545
-3.974 -1.519 -2.283
-2.686 -4.731 7.823
```



# 19
This record from Alexandria describes crystalline RbBaAg at its relaxed geometry. The functional is GGA-PBE. Values from VASP.

energy of formation from the pure elements: 22.2 meV/atom
ΔE to the lowest computed polymorph: 157 meV per atom
mass density: 3.33 g/cm³
space-group type: P-3m1, No. 164

Geometry as Quantum ESPRESSO input:
```
&SYSTEM
  ibrav = 0, nat = 12, ntyp = 3
/
ATOMIC_SPECIES
Rb 85.47 Rb.upf
Ag 107.87 Ag.upf
Ba 137.33 Ba.upf
ATOMIC_POSITIONS angstrom
Rb -2.137 2.772 -0.223
Rb -9.458 21.809 22.093
Rb -8.463 18.534 18.865
Rb -3.133 6.047 3.005
Ag -4.466 10.433 7.329
Ag -8.014 22.102 18.832
Ag -3.581 2.479 3.038
Ag -7.129 14.147 14.541
Ba -5.729 14.585 11.422
Ba -5.867 9.996 10.448
Ba -4.975 7.063 7.556
Ba -6.620 17.518 14.314
CELL_PARAMETERS angstrom
-0.716 3.142 -3.408
-3.564 -2.621 1.560
-7.316 24.060 23.719
```



# 20
This record from Alexandria describes crystalline CsAlSb2I at its relaxed geometry. The functional is GGA-PBE. Values from VASP.

ΔE_f (raw): 1091.5 meV/atom
ΔE to the lowest computed polymorph: 1198 meV per atom
mass density: 2.98 g/cm³
space-group type: P4/mmm, No. 123

Geometry as Quantum ESPRESSO input:
```
&SYSTEM
  ibrav = 0, nat = 5, ntyp = 4
/
ATOMIC_SPECIES
Cs 132.91 Cs.upf
I 126.90 I.upf
Al 26.98 Al.upf
Sb 121.76 Sb.upf
ATOMIC_POSITIONS angstrom
Cs 0.000 0.000 0.000
I 0.000 0.000 3.481
Al 3.260 3.260 3.481
Sb 0.000 3.260 0.000
Sb 3.260 0.000 0.000
CELL_PARAMETERS angstrom
6.519 0.000 0.000
0.000 6.519 0.000
0.000 0.000 6.963
```